# GGA-PBEsol Cu2SiTcAu, optimized geometry
data_Cu2SiTcAu
_symmetry_space_group_name_H-M 'P 4/m m m'
_symmetry_Int_Tables_number 123
_symmetry_space_group_name_Hall '-P 4 2'
_cell_length_a 4.5628
_cell_length_b 4.5628
_cell_length_c 4.4375
_cell_angle_alpha 90.00
_cell_angle_beta 90.00
_cell_angle_gamma 90.00
loop_
_atom_site_label
_atom_site_type_symbol
_atom_site_fract_x
_atom_site_fract_y
_atom_site_fract_z
Cu1 Cu 0.0000 0.5000 0.0000
Si1 Si 0.0000 0.0000 0.5000
Tc1 Tc 0.0000 0.0000 0.0000
Au1 Au 0.5000 0.5000 0.5000
# Formation energy without anion corrections (eV per formula unit): 6.08
# Calculated volume (Å³/cell): 92.38
# Total magnetization (μB per cell): 0.0